Density functional theory data (PBE-GGA) for a geometry-optimized B2ClF structure.

Output
Polymorph energy (0 for the lowest one), eV per formula unit: 0.00
V, Å³/f.u.: 48.5
E, eV/atom: -3.737
Total moment, Bohr magnetons per cell: 0.000
N(E_F), states/eV per cell: 0.00
Formation energy from raw total energies, kJ/mol of formula units: 205

Lattice parameters (Å, degrees): 7.6262 7.6262 7.6262 152.10 152.10 39.87
Closest atoms and distances in Å follow each position.
Atoms (fractional coordinates):
B 0.0000 0.0000 0.0000  2 B 1.84, 2 F 2.01
B 0.0000 0.0000 0.5000  2 B 1.84, 2 F 2.01
B 0.0000 0.5000 0.0000  2 B 1.84, 2 F 2.01
B 0.5000 0.0000 0.5000  2 B 1.84, 2 F 2.01
Cl 0.3750 0.6250 0.7500  4 F 2.60, 8 B 2.73
Cl 0.6250 0.3750 0.2500  4 F 2.60, 8 B 2.73
F 0.1250 0.8750 0.2500  4 B 2.01
F 0.8750 0.1250 0.7500  4 B 2.01